(1)
## Er3Sc3Ni2 (PBE)

Data for an optimized crystal structure of Er3Sc3Ni2.

abc: 6.317 6.317 16.735
angles: 90.00 90.00 146.57
Element x y z (fractional)
Er: 0.054 0.946 0.602
Er: 0.054 0.946 0.898
Er: 0.357 0.643 0.750
Er: 0.643 0.357 0.250
Er: 0.946 0.054 0.102
Er: 0.946 0.054 0.398
Sc: 0.337 0.663 0.545
Sc: 0.337 0.663 0.955
Sc: 0.371 0.629 0.250
Sc: 0.629 0.371 0.750
Sc: 0.663 0.337 0.045
Sc: 0.663 0.337 0.455
Ni: 0.252 0.748 0.126
Ni: 0.252 0.748 0.374
Ni: 0.748 0.252 0.626
Ni: 0.748 0.252 0.874

Properties
D(E_F) in states/eV per cell: 18.237
Symmetry: No. 63
ρ in g/cm3: 6.81
Energy of formation from the pure elements in eV per formula unit: -1.60
Total magnetization in μB/f.u.: 0.000

---

(2)
## Tb2SmTm4Th (PBE)

Data for an optimized crystal structure of Tb2SmTm4Th.

abc: 5.032 5.044 9.857
angles: 90.00 90.06 90.00
Element x y z (fractional)
Tb: 0.000 0.000 0.000
Tb: 0.500 0.500 0.500
Sm: 0.000 0.000 0.500
Tm: 0.000 0.500 0.247
Tm: 0.000 0.500 0.753
Tm: 0.500 0.000 0.247
Tm: 0.500 0.000 0.753
Th: 0.500 0.500 0.000

Properties
D(E_F) in states/eV per cell: 11.559
Symmetry: No. 10
ρ in g/cm3: 9.13
Energy of formation from the pure elements in eV per formula unit: 0.23
Total magnetization in μB/f.u.: 0.000

---

(3)
## Zr6HC3O2 (PBE)

Data for an optimized crystal structure of Zr6HC3O2.

abc: 7.433 7.433 6.606
angles: 102.48 102.48 25.68
Element x y z (fractional)
Zr: 0.001 0.001 0.242
Zr: 0.328 0.328 0.418
Zr: 0.339 0.339 0.904
Zr: 0.661 0.661 0.096
Zr: 0.672 0.672 0.582
Zr: 0.999 0.999 0.758
H: 0.500 0.500 0.500
C: 0.166 0.166 0.336
C: 0.500 0.500 0.000
C: 0.834 0.834 0.664
O: 0.171 0.171 0.843
O: 0.829 0.829 0.157

Properties
D(E_F) in states/eV per cell: 3.563
Symmetry: No. 12
DFT total energy in eV/atom: -9.08
ρ in g/cm3: 6.64
Total magnetization in μB/f.u.: 0.000

---

(4)
## Sm2ThN3 (PBE)

Data for an optimized crystal structure of Sm2ThN3.

abc: 7.124 7.124 8.717
angles: 108.19 108.19 28.94
Element x y z (fractional)
Sm: 0.171 0.171 0.336
Sm: 0.328 0.328 0.162
Sm: 0.672 0.672 0.838
Sm: 0.829 0.829 0.664
Th: 0.000 0.000 0.500
Th: 0.500 0.500 0.000
N: 0.026 0.026 0.807
N: 0.309 0.309 0.862
N: 0.366 0.366 0.472
N: 0.634 0.634 0.528
N: 0.691 0.691 0.138
N: 0.974 0.974 0.193

Properties
D(E_F) in states/eV per cell: 4.068
Symmetry: No. 12
ρ in g/cm3: 9.42
Formation energy without anion corrections in eV/atom: -1.21
Total magnetization in μB/f.u.: 0.000

---

(5)
## SbW3 (PBE)

Data for an optimized crystal structure of SbW3.

abc: 8.877 8.877 8.877
angles: 153.66 153.66 37.60
Element x y z (fractional)
Sb: 0.123 0.123 0.000
Sb: 0.877 0.877 0.000
W: 0.000 0.500 0.500
W: 0.250 0.750 0.500
W: 0.372 0.372 0.000
W: 0.500 0.000 0.500
W: 0.628 0.628 0.000
W: 0.750 0.250 0.500

Properties
D(E_F) in states/eV per cell: 7.477
Symmetry: No. 139
ρ in g/cm3: 16.26
Formation energy without anion corrections in eV/atom: 0.66
Total magnetization in μB/f.u.: 0.000

---

(6)
## GaHIrPd2 (PBE)

Data for an optimized crystal structure of GaHIrPd2.

abc: 3.955 3.955 3.985
angles: 90.00 90.00 90.00
Element x y z (fractional)
Ga: 0.000 0.000 0.000
H: 0.500 0.500 0.500
Ir: 0.500 0.500 0.000
Pd: 0.000 0.500 0.500
Pd: 0.500 0.000 0.500

Properties
D(E_F) in states/eV per cell: 3.106
Symmetry: No. 123
DFT total energy in eV/atom: -5.34
ρ in g/cm3: 12.68
Total magnetization in μB/f.u.: 0.000